A plane-wave DFT calculation with PBE was carried out for crystalline NiBi2Pb at its relaxed geometry.

Results
calculated total energy = -34.01 eV/cell
DFT formation energy = 0.062 eV per atom
SG = P2_1/m (11)
calculated volume = 207.0 Å³/cell
total moment = 0.00 μB per formula unit

```
8
Lattice="3.981 0.000 0.000 0.000 8.497 0.000 -1.895 0.000 6.120" Properties=species:S:1:pos:R:3 pbc="T T T"
Ni 0.049 2.124 2.991
Ni 2.037 6.373 3.129
Bi 0.047 4.727 1.830
Bi 0.047 8.019 1.830
Bi 2.038 0.478 4.290
Bi 2.038 3.770 4.290
Pb 0.049 6.373 5.257
Pb 2.036 2.124 0.863
```

=====

A plane-wave DFT calculation with PBE was carried out for crystalline Li2CdIn3Hg3 at its relaxed geometry.

Results
calculated total energy = -14.84 eV/cell
DFT formation energy = -0.108 eV per atom
SG = P-62m (189)
calculated volume = 210.6 Å³/cell
total moment = 0.00 μB per formula unit

```
9
Lattice="8.574 0.000 0.000 -4.287 7.426 0.000 0.000 0.000 3.307" Properties=species:S:1:pos:R:3 pbc="T T T"
Li 0.000 4.950 0.000
Li 4.287 2.475 0.000
Cd 0.000 0.000 1.654
In -2.991 5.181 0.000
In 1.296 2.244 0.000
In 5.983 0.000 0.000
Hg -1.623 2.812 1.654
Hg 3.247 0.000 1.654
Hg 2.664 4.614 1.654
```